No. 1
This record from Alexandria via LeMat-Bulk describes an optimized crystal structure of Tm2ZrCu. The functional is GGA-PBE.

Unit cell a=10.8773 b=10.8773 c=10.8773 alpha=17.05 beta=17.05 gamma=17.05
Last column: nearest neighbours and their distance in Å.
Element x y z (fractional)
Tm (0.0984, 0.0984, 0.0984)  3 Cu 2.88, 1 Zr 3.16
Tm (0.9016, 0.9016, 0.9016)  3 Cu 2.88, 1 Zr 3.16
Zr (0.0000, 0.0000, 0.0000)  2 Tm 3.16, 6 Zr 3.23
Cu (0.5000, 0.5000, 0.5000)  6 Tm 2.88

Calculated values
formation energy from the elements	319.0	meV per atom
N(E_F)	3.7	states/eV per cell
uncorrected energy	-5.078	eV per atom
SG	R-3m (166)

---

No. 2
This record from Alexandria via LeMat-Bulk describes an optimized crystal structure of La2MgMoOs. The functional is GGA-PBE.

Unit cell a=5.5405 b=5.5405 c=4.5889 alpha=90.00 beta=90.00 gamma=90.00
Last column: nearest neighbours and their distance in Å.
Element x y z (fractional)
La (0.0000, 0.5000, 0.0000)  2 Mg 2.77
La (0.5000, 0.0000, 0.0000)  2 Mg 2.77
Mg (0.0000, 0.0000, 0.0000)  2 Mo 2.29
Mo (0.0000, 0.0000, 0.5000)  2 Mg 2.29
Os (0.5000, 0.5000, 0.5000)  8 La 3.60, 4 Mo 3.92

Calculated values
formation energy from the elements	1724.5	meV per atom
N(E_F)	7.2	states/eV per cell
uncorrected energy	-4.978	eV per atom
SG	P4/mmm (123)